Entry 1:
First-principles (GGA-PBE) data for a geometry-optimized Ba4P2Br structure, as listed in Alexandria.

Cell and atoms, written as POSCAR:
```
Ba4P2Br
1.0
2.3454 1.3541 16.1477
-2.3454 1.3541 16.1477
0.0000 -2.7082 16.1477
Ba P Br
4 2 1
direct
0.1179 0.1179 0.1179
0.2857 0.2857 0.2857
0.7143 0.7143 0.7143
0.8821 0.8821 0.8821
0.4161 0.4161 0.4161
0.5839 0.5839 0.5839
0.0000 0.0000 0.0000
```

crystal system	trigonal
formation energy (no corrections)	-1.25	eV per atom
energy above the most stable polymorph in this dataset	0	meV per atom

=====

Entry 2:
First-principles (GGA-PBE) data for a geometry-optimized NdY2Cd3 structure, as listed in Alexandria.

Cell and atoms, written as POSCAR:
```
NdY2Cd3
1.0
3.7783 0.0000 0.0000
0.0000 3.7783 0.0000
0.0000 0.0000 11.4183
Nd Y Cd
1 2 3
direct
0.0000 0.0000 0.0000
0.0000 0.0000 0.3366
0.0000 0.0000 0.6634
0.5000 0.5000 0.1774
0.5000 0.5000 0.5000
0.5000 0.5000 0.8226
```

DFT formation energy	-338	meV/atom
crystal system	tetragonal

=====

Entry 3:
First-principles (GGA-PBE) data for a geometry-optimized Ac6Ir2Br3Cl structure, as listed in Alexandria.

Cell and atoms, written as POSCAR:
```
Ac6Ir2Br3Cl
1.0
3.8910 -6.7234 0.0000
3.8910 6.7234 0.0000
-2.5862 0.0000 8.1674
Ac Ir Br Cl
6 2 3 1
direct
0.0676 0.4330 0.8005
0.2011 0.2011 0.1980
0.4330 0.0676 0.8005
0.5670 0.9324 0.1995
0.7989 0.7989 0.8020
0.9324 0.5670 0.1995
0.1669 0.8331 0.0000
0.8331 0.1669 0.0000
0.0000 0.0000 0.5000
0.3373 0.6627 0.5000
0.6627 0.3373 0.5000
0.5000 0.5000 0.0000
```

crystal system	monoclinic
formation energy (no corrections)	-1.24	eV per atom

=====

Entry 4:
First-principles (GGA-PBE) data for a geometry-optimized BaB2Pb2 structure, as listed in Alexandria.

Cell and atoms, written as POSCAR:
```
BaB2Pb2
1.0
8.7331 0.0000 0.0000
0.0000 8.7331 0.0000
0.0000 0.0000 3.7912
Ba B Pb
2 4 4
direct
0.0000 0.0000 0.0000
0.5000 0.5000 0.0000
0.0656 0.4344 0.5000
0.4344 0.9344 0.5000
0.5656 0.0656 0.5000
0.9344 0.5656 0.5000
0.1346 0.6346 0.0000
0.3654 0.1346 0.0000
0.6346 0.8654 0.0000
0.8654 0.3654 0.0000
```

DFT formation energy	878	meV/atom
crystal system	tetragonal
energy above the most stable polymorph in this dataset	198	meV per atom

=====

Record order is preserved below.
M_tot: 0.0; 0.7; 0.0; 0.1 μB/f.u.
Record order is preserved below.
DFT total energy: -4.133; -3.745; -5.341; -3.661 eV/atom